Entry 1:
Here is Li2Al2Zn2CuAg after structural relaxation from the Open Quantum Materials Database. Energies are from PBE.

abc: 4.260 4.260 6.269
angles: 90.00 90.00 90.00
Sites, in units of the cell vectors:
1 Ag 0.000 0.000 0.000
2 Al 0.000 0.500 0.267
3 Al 0.500 0.000 0.733
4 Cu 0.500 0.500 0.500
5 Li 0.500 0.500 0.000
6 Li 0.000 0.000 0.500
7 Zn 0.500 0.000 0.271
8 Zn 0.000 0.500 0.729

Calculated values
The calculation puts the total energy at -2.735 eV per atom.



Entry 2:
Here is Zn2SiH2O5 after structural relaxation from the Open Quantum Materials Database. Energies are from PBE.

abc: 8.816 10.543 5.013
angles: 90.00 90.00 90.00
Sites, in units of the cell vectors:
1 H 0.728 0.490 0.482
2 H 0.272 0.510 0.482
3 H 0.529 0.070 0.487
4 H 0.471 0.930 0.487
5 H 0.228 0.010 0.982
6 H 0.772 0.990 0.982
7 H 0.029 0.430 0.987
8 H 0.971 0.570 0.987
9 O 0.613 0.447 0.009
10 O 0.387 0.553 0.009
11 O 0.390 0.272 0.107
12 O 0.610 0.728 0.107
13 O 0.692 0.226 0.121
14 O 0.308 0.774 0.121
15 O 0.041 0.224 0.141
16 O 0.959 0.776 0.141
17 O 0.500 0.500 0.184
18 O 0.500 0.000 0.371
19 O 0.113 0.053 0.509
20 O 0.887 0.947 0.509
21 O 0.890 0.228 0.607
22 O 0.110 0.772 0.607
23 O 0.192 0.274 0.621
24 O 0.808 0.726 0.621
25 O 0.541 0.276 0.641
26 O 0.459 0.724 0.641
27 O 0.000 0.000 0.684
28 O 0.000 0.500 0.871
29 Si 0.053 0.208 0.463
30 Si 0.947 0.792 0.463
31 Si 0.553 0.292 0.963
32 Si 0.447 0.708 0.963
33 Zn 0.734 0.335 0.450
34 Zn 0.266 0.665 0.450
35 Zn 0.358 0.364 0.459
36 Zn 0.642 0.636 0.459
37 Zn 0.234 0.165 0.950
38 Zn 0.766 0.835 0.950
39 Zn 0.858 0.136 0.959
40 Zn 0.142 0.864 0.959

Calculated values
The calculation puts the total energy at -5.164 eV per atom.



Entry 3:
Here is ErTm2Ni2B2N3 after structural relaxation from the Open Quantum Materials Database. Energies are from PBE.

abc: 10.234 10.234 10.234
angles: 160.75 160.75 27.36
Sites, in units of the cell vectors:
1 B 0.189 0.189 0.000
2 B 0.811 0.811 0.000
3 Er 0.000 0.000 0.000
4 N 0.115 0.115 0.000
5 N 0.500 0.500 0.000
6 N 0.885 0.885 0.000
7 Ni 0.750 0.250 0.500
8 Ni 0.250 0.750 0.500
9 Tm 0.378 0.378 0.000
10 Tm 0.622 0.622 0.000

Calculated values
The calculation puts the total energy at -7.563 eV per atom.



Entry 4:
Here is GdSiHO4 after structural relaxation from the Open Quantum Materials Database. Energies are from PBE.

abc: 9.480 9.480 13.386
angles: 90.00 90.00 120.00
Sites, in units of the cell vectors:
1 Gd 0.740 0.260 0.167
2 Gd 0.285 0.285 0.167
3 Gd 0.715 0.715 0.167
4 Gd 0.260 0.740 0.167
5 Gd 0.285 0.000 0.500
6 Gd 0.715 0.000 0.500
7 Gd 0.740 0.479 0.500
8 Gd 0.260 0.521 0.500
9 Gd 0.521 0.260 0.833
10 Gd 0.000 0.285 0.833
11 Gd 0.000 0.715 0.833
12 Gd 0.479 0.740 0.833
13 H 0.500 0.000 0.000
14 H 0.500 0.500 0.005
15 H 0.000 0.000 0.167
16 H 0.500 0.500 0.329
17 H 0.000 0.500 0.333
18 H 0.500 0.000 0.338
19 H 0.000 0.000 0.500
20 H 0.500 0.000 0.662
21 H 0.500 0.500 0.667
22 H 0.000 0.500 0.671
23 H 0.000 0.000 0.833
24 H 0.000 0.500 0.995
25 O 0.357 0.384 0.007
26 O 0.643 0.616 0.007
27 O 0.706 0.140 0.026
28 O 0.294 0.860 0.026
29 O 0.169 0.044 0.099
30 O 0.831 0.956 0.099
31 O 0.750 0.484 0.116
32 O 0.250 0.516 0.116
33 O 0.516 0.250 0.217
34 O 0.484 0.750 0.217
35 O 0.044 0.169 0.235
36 O 0.956 0.831 0.235
37 O 0.860 0.294 0.307
38 O 0.140 0.706 0.307
39 O 0.384 0.357 0.327
40 O 0.616 0.643 0.327
41 O 0.384 0.026 0.340
42 O 0.616 0.974 0.340
43 O 0.140 0.434 0.359
44 O 0.860 0.566 0.359
45 O 0.956 0.125 0.432
46 O 0.044 0.875 0.432
47 O 0.516 0.266 0.450
48 O 0.484 0.734 0.450
49 O 0.750 0.266 0.550
50 O 0.250 0.734 0.550
51 O 0.169 0.125 0.568
52 O 0.831 0.875 0.568
53 O 0.294 0.434 0.641
54 O 0.706 0.566 0.641
55 O 0.643 0.026 0.660
56 O 0.357 0.974 0.660
57 O 0.974 0.357 0.673
58 O 0.026 0.643 0.673
59 O 0.434 0.294 0.693
60 O 0.566 0.706 0.693
61 O 0.125 0.169 0.765
62 O 0.875 0.831 0.765
63 O 0.734 0.250 0.783
64 O 0.266 0.750 0.783
65 O 0.734 0.484 0.884
66 O 0.266 0.516 0.884
67 O 0.875 0.044 0.901
68 O 0.125 0.956 0.901
69 O 0.434 0.140 0.974
70 O 0.566 0.860 0.974
71 O 0.026 0.384 0.993
72 O 0.974 0.616 0.993
73 Si 0.244 0.000 0.000
74 Si 0.756 0.000 0.000
75 Si 0.230 0.460 0.000
76 Si 0.770 0.540 0.000
77 Si 0.460 0.230 0.333
78 Si 0.000 0.244 0.333
79 Si 0.000 0.756 0.333
80 Si 0.540 0.770 0.333
81 Si 0.770 0.230 0.667
82 Si 0.244 0.244 0.667
83 Si 0.756 0.756 0.667
84 Si 0.230 0.770 0.667

Calculated values
The relative energy among the computed polymorphs is 448 meV per atom. The calculation puts the total energy at -7.024 eV per atom.



Entry 5:
Here is Ag2CN2 after structural relaxation from the Open Quantum Materials Database. Energies are from PBE.

abc: 7.323 6.024 6.633
angles: 90.00 101.98 90.00
Sites, in units of the cell vectors:
1 Ag 0.000 0.000 0.000
2 Ag 0.000 0.500 0.000
3 Ag 0.675 0.190 0.178
4 Ag 0.325 0.690 0.322
5 Ag 0.000 0.000 0.500
6 Ag 0.000 0.500 0.500
7 Ag 0.675 0.310 0.678
8 Ag 0.325 0.810 0.822
9 C 0.705 0.688 0.190
10 C 0.295 0.188 0.310
11 C 0.705 0.812 0.690
12 C 0.295 0.312 0.810
13 N 0.595 0.841 0.177
14 N 0.814 0.522 0.207
15 N 0.186 0.022 0.293
16 N 0.405 0.341 0.323
17 N 0.595 0.659 0.677
18 N 0.814 0.978 0.707
19 N 0.186 0.478 0.793
20 N 0.405 0.159 0.823

Calculated values
The calculation puts the total energy at -5.893 eV per atom.



Entry 6:
Here is RbEr after structural relaxation from the Open Quantum Materials Database. Energies are from PBE.

abc: 6.012 6.012 6.012
angles: 60.00 60.00 60.00
Sites, in units of the cell vectors:
1 Er 0.000 0.000 0.000
2 Rb 0.250 0.250 0.250

Calculated values
The calculation puts the total energy at -0.884 eV per atom.



Entry 7:
Here is LaNdGe4Pd2 after structural relaxation from the Open Quantum Materials Database. Energies are from PBE.

abc: 4.381 4.435 8.990
angles: 90.00 103.96 90.00
Sites, in units of the cell vectors:
1 Ge 0.054 0.000 0.071
2 Ge 0.252 0.500 0.498
3 Ge 0.748 0.000 0.502
4 Ge 0.946 0.500 0.928
5 La 0.613 0.500 0.216
6 Nd 0.388 0.000 0.784
7 Pd 0.174 0.000 0.354
8 Pd 0.826 0.500 0.646

Calculated values
The calculation puts the total energy at -5.631 eV per atom.



Entry 8:
Here is Sm3In3GePd2 after structural relaxation from the Open Quantum Materials Database. Energies are from PBE.

abc: 7.828 7.828 4.005
angles: 90.00 90.00 120.00
Sites, in units of the cell vectors:
1 Ge 0.000 0.000 0.500
2 In 0.730 0.000 0.000
3 In 0.270 0.270 0.000
4 In 0.000 0.730 0.000
5 Pd 0.667 0.333 0.000
6 Pd 0.333 0.667 0.000
7 Sm 0.397 0.000 0.500
8 Sm 0.000 0.397 0.500
9 Sm 0.603 0.603 0.500

Calculated values
The relative energy among the computed polymorphs is 0 meV per atom. The calculation puts the total energy at -4.842 eV per atom.